Compound: Pm12Tm5Sn2
Source: Alexandria
Functional: PBE
Structure: optimized geometry

Calculated values
Energy = -0.1720 Ha/atom
ΔE_f = -83.0 meV per atom
M_tot = 0.000 μB per formula unit
Space group = C2/m, No. 12

abc: 8.9932 8.9932 8.5196
angles: 92.54 92.54 64.12
Closest atoms and distances in Å follow each position.
Sites, in units of the cell vectors:
Pm1 0.0516 0.0516 0.3107  7 Pm 3.27-3.66, 2 Sn 3.28, 2 Tm 3.33-3.36
Pm2 0.0756 0.6813 0.3481  4 Pm 3.27-3.58, 4 Tm 3.43-3.64, 1 Sn 3.58
Pm3 0.1641 0.5323 0.7692  1 Sn 3.18, 4 Pm 3.46-3.56
Pm4 0.3187 0.9244 0.6520  4 Pm 3.27-3.58, 4 Tm 3.43-3.64, 1 Sn 3.58
Pm5 0.4174 0.4174 0.1172  5 Pm 3.29-3.56, 2 Sn 3.37, 2 Tm 3.43-3.51
Pm6 0.4677 0.8359 0.2308  1 Sn 3.18, 4 Pm 3.46-3.56
Pm7 0.5323 0.1641 0.7692  1 Sn 3.18, 4 Pm 3.46-3.56
Pm8 0.5826 0.5826 0.8828  5 Pm 3.29-3.56, 2 Sn 3.37, 2 Tm 3.43-3.51
Pm9 0.6813 0.0756 0.3481  4 Pm 3.27-3.58, 4 Tm 3.43-3.64, 1 Sn 3.58
Pm10 0.8359 0.4677 0.2308  1 Sn 3.18, 4 Pm 3.46-3.56
Pm11 0.9244 0.3187 0.6520  4 Pm 3.27-3.58, 4 Tm 3.43-3.64, 1 Sn 3.58
Pm12 0.9484 0.9484 0.6893  7 Pm 3.27-3.66, 2 Sn 3.28, 2 Tm 3.33-3.36
Tm1 0.1786 0.1786 0.0005  2 Sn 3.28, 5 Pm 3.36-3.63
Tm2 0.2653 0.2653 0.4122  8 Pm 3.33-3.68, 2 Tm 3.62-3.68
Tm3 0.5000 0.5000 0.5000  10 Pm 3.43-3.78, 2 Tm 3.62
Tm4 0.7347 0.7347 0.5878  8 Pm 3.33-3.68, 2 Tm 3.62-3.68
Tm5 0.8214 0.8214 0.9995  2 Sn 3.28, 5 Pm 3.36-3.63
Sn1 0.1925 0.8075 0.0000  6 Pm 3.18-3.37, 2 Tm 3.28
Sn2 0.8075 0.1925 0.0000  6 Pm 3.18-3.37, 2 Tm 3.28



Compound: Cd2Si2Ru
Source: Alexandria
Functional: PBE
Structure: optimized geometry

Calculated values
Formation energy from raw total energies = 0.096 eV per atom
Energy = -0.1578 Ha/atom
M_tot = 0.000 μB per formula unit
Space group = P4/mbm, No. 127

abc: 6.2955 6.2955 4.3805
angles: 90.00 90.00 90.00
Closest atoms and distances in Å follow each position.
Sites, in units of the cell vectors:
Cd1 0.1895 0.3105 0.0000  6 Si 2.71-3.00
Cd2 0.3105 0.8105 0.0000  6 Si 2.71-3.00
Cd3 0.6895 0.1895 0.0000  6 Si 2.71-3.00
Cd4 0.8105 0.6895 0.0000  6 Si 2.71-3.00
Si1 0.1313 0.6313 0.5000  1 Si 2.34, 2 Ru 2.46
Si2 0.3687 0.1313 0.5000  1 Si 2.34, 2 Ru 2.46
Si3 0.6313 0.8687 0.5000  1 Si 2.34, 2 Ru 2.46
Si4 0.8687 0.3687 0.5000  1 Si 2.34, 2 Ru 2.46
Ru1 0.0000 0.0000 0.5000  4 Si 2.46
Ru2 0.5000 0.5000 0.5000  4 Si 2.46



Compound: RbPuAl2F8
Source: Alexandria
Functional: PBE
Structure: optimized geometry

Calculated values
Formation energy from raw total energies = -3.051 eV per atom
Energy = -0.2278 Ha/atom
M_tot = 6.365 μB per formula unit
Space group = R-3, No. 148

abc: 10.2952 10.2952 10.2952
angles: 28.62 28.62 28.62
Closest atoms and distances in Å follow each position.
Sites, in units of the cell vectors:
Rb1 0.0000 0.0000 0.0000  6 F 3.05
Pu1 0.5000 0.5000 0.5000  6 F 2.59
Al1 0.2483 0.2483 0.2483  4 F 1.71-1.72
Al2 0.7517 0.7517 0.7517  4 F 1.71-1.72
F1 0.1044 0.4512 0.7398  1 Al 1.71
F2 0.2602 0.8956 0.5488  1 Al 1.71
F3 0.3064 0.3064 0.3064  1 Al 1.72
F4 0.4512 0.7398 0.1044  1 Al 1.71
F5 0.5488 0.2602 0.8956  1 Al 1.71
F6 0.6936 0.6936 0.6936  1 Al 1.72
F7 0.7398 0.1044 0.4512  1 Al 1.71
F8 0.8956 0.5488 0.2602  1 Al 1.71



Compound: LiNdIn4
Source: Alexandria
Functional: PBE
Structure: optimized geometry

Calculated values
Energy = -0.1156 Ha/atom
ΔE_f = -205.8 meV per atom
M_tot = 0.000 μB per formula unit
Space group = F-43m, No. 216

abc: 6.0741 6.0741 6.0741
angles: 60.00 60.00 60.00
Closest atoms and distances in Å follow each position.
Sites, in units of the cell vectors:
Li1 0.0000 0.0000 0.0000  12 In 3.56, 4 Nd 3.72
Nd1 0.2500 0.2500 0.2500  12 In 3.56, 4 Li 3.72
In1 0.1250 0.6250 0.6250  6 In 3.04
In2 0.6250 0.1250 0.6250  6 In 3.04
In3 0.6250 0.6250 0.1250  6 In 3.04
In4 0.6250 0.6250 0.6250  6 In 3.04



Compound: Sn3Pd5Pt
Source: Alexandria
Functional: PBE
Structure: optimized geometry

Calculated values
Energy = -0.1975 Ha/atom
ΔE_f = -484.2 meV per atom
M_tot = 0.000 μB per formula unit
Space group = P6_3/mcm, No. 193

abc: 7.9248 7.9248 5.6916
angles: 90.00 90.00 120.00
Closest atoms and distances in Å follow each position.
Sites, in units of the cell vectors:
Sn1 0.0000 0.3413 0.2500  5 Pd 2.64-2.85
Sn2 0.0000 0.6587 0.7500  5 Pd 2.64-2.85
Sn3 0.3413 0.0000 0.2500  5 Pd 2.64-2.85
Sn4 0.3413 0.3413 0.7500  5 Pd 2.64-2.85
Sn5 0.6587 0.0000 0.7500  5 Pd 2.64-2.85
Sn6 0.6587 0.6587 0.2500  5 Pd 2.64-2.85
Pd1 0.0000 0.3249 0.7500  5 Sn 2.64-2.85, 2 Pt 2.94
Pd2 0.0000 0.6751 0.2500  5 Sn 2.64-2.85, 2 Pt 2.94
Pd3 0.3249 0.0000 0.7500  5 Sn 2.64-2.85, 2 Pt 2.94
Pd4 0.3249 0.3249 0.2500  5 Sn 2.64-2.85, 2 Pt 2.94
Pd5 0.3333 0.6667 0.0000  8 Pd 2.85-3.03, 6 Sn 2.97
Pd6 0.3333 0.6667 0.5000  8 Pd 2.85-3.03, 6 Sn 2.97
Pd7 0.6667 0.3333 0.0000  8 Pd 2.85-3.03, 6 Sn 2.97
Pd8 0.6667 0.3333 0.5000  8 Pd 2.85-3.03, 6 Sn 2.97
Pd9 0.6751 0.0000 0.2500  5 Sn 2.64-2.85, 2 Pt 2.94
Pd10 0.6751 0.6751 0.7500  5 Sn 2.64-2.85, 2 Pt 2.94
Pt1 0.0000 0.0000 0.0000  2 Pt 2.85, 6 Pd 2.94, 6 Sn 3.06
Pt2 0.0000 0.0000 0.5000  2 Pt 2.85, 6 Pd 2.94, 6 Sn 3.06



Compound: Nb3Ga4Fe
Source: Alexandria
Functional: PBE
Structure: optimized geometry

Calculated values
Energy = -0.2343 Ha/atom
ΔE_f = -28.0 meV per atom
M_tot = 0.554 μB per formula unit
Space group = Pmn2_1, No. 31

abc: 8.5791 6.4656 4.6909
angles: 90.00 90.00 90.00
Closest atoms and distances in Å follow each position.
Sites, in units of the cell vectors:
Nb1 0.0000 0.1508 0.0000  5 Ga 2.65-2.84, 2 Nb 2.72, 1 Fe 2.74
Nb2 0.2236 0.8585 0.9257  3 Nb 2.72-3.01, 5 Ga 2.80-2.84
Nb3 0.2764 0.1415 0.4257  3 Nb 2.72-3.01, 5 Ga 2.80-2.84
Nb4 0.5000 0.8492 0.5000  5 Ga 2.65-2.84, 2 Nb 2.72, 1 Fe 2.74
Nb5 0.7236 0.1415 0.4257  3 Nb 2.72-3.01, 5 Ga 2.80-2.84
Nb6 0.7764 0.8585 0.9257  3 Nb 2.72-3.01, 5 Ga 2.80-2.84
Ga1 0.0000 0.5751 0.1362  2 Fe 2.38-2.45, 2 Ga 2.54
Ga2 0.0000 0.9158 0.4877  6 Nb 2.75-2.84, 3 Ga 2.75-2.89, 1 Fe 2.87
Ga3 0.2486 0.6167 0.4253  2 Fe 2.51-2.62, 4 Ga 2.54-2.79, 1 Nb 2.65
Ga4 0.2514 0.3833 0.9253  2 Fe 2.51-2.62, 4 Ga 2.54-2.79, 1 Nb 2.65
Ga5 0.5000 0.0842 0.9877  6 Nb 2.75-2.84, 3 Ga 2.75-2.89, 1 Fe 2.87
Ga6 0.5000 0.4249 0.6362  2 Fe 2.38-2.45, 2 Ga 2.54
Ga7 0.7486 0.3833 0.9253  2 Fe 2.51-2.62, 4 Ga 2.54-2.79, 1 Nb 2.65
Ga8 0.7514 0.6167 0.4253  2 Fe 2.51-2.62, 4 Ga 2.54-2.79, 1 Nb 2.65
Fe1 0.0000 0.4870 0.6442  6 Ga 2.38-2.62
Fe2 0.5000 0.5130 0.1442  6 Ga 2.38-2.62